Entry 1:
DFT (PBE) results for a relaxed YLuNiBi crystal.

Lattice parameters (Å, degrees): 5.143 5.143 5.143 60.00 60.00 60.00
Sites, in units of the cell vectors:
Y  0.000  0.000  0.000
Lu  0.250  0.250  0.250
Ni  0.750  0.750  0.750
Bi  0.500  0.500  0.500

Computed properties:
- Total moment: 0.0 μB/cell
- DFT total energy: -5.046 eV per atom
- Mass density: 9.18 g/cm3
- Volume: 24.048 Å³ per atom

Entry 2:
DFT (PBE) results for a relaxed LuZrNiBi crystal.

Lattice parameters (Å, degrees): 5.002 5.002 5.002 60.00 60.00 60.00
Sites, in units of the cell vectors:
Lu  0.000  0.000  0.000
Zr  0.750  0.750  0.750
Ni  0.500  0.500  0.500
Bi  0.250  0.250  0.250

Computed properties:
- Total moment: 2.3 μB/cell
- DFT total energy: -5.398 eV per atom
- Mass density: 10.02 g/cm3
- Volume: 22.119 Å³ per atom

Entry 3:
DFT (PBE) results for a relaxed Lu2BiO4 crystal.

Lattice parameters (Å, degrees): 6.782 6.782 6.782 60.00 60.00 60.00
Sites, in units of the cell vectors:
Lu  0.000  0.000  0.000
Lu  0.000  0.000  0.500
Lu  0.000  0.500  0.000
Lu  0.500  0.000  0.000
Bi  0.375  0.375  0.375
Bi  0.625  0.625  0.625
O  0.190  0.770  0.770
O  0.230  0.230  0.230
O  0.230  0.230  0.810
O  0.230  0.810  0.230
O  0.770  0.190  0.770
O  0.770  0.770  0.190
O  0.770  0.770  0.770
O  0.810  0.230  0.230

Computed properties:
- Total moment: 0.0 μB/cell
- DFT total energy: -7.357 eV per atom
- Mass density: 9.38 g/cm3
- Volume: 15.755 Å³ per atom

> The highest total moment belongs to which entry?

LuZrNiBi

> Look up the DFT total energy of the second one.

-5.398 eV per atom